Tm3InPd2: optimized geometry, PBE.

Calculated values
Mass density, g/cm3: 10.282
ΔE_f, eV per atom: -0.786
Density of states at the Fermi level, states/eV per atom: 0.418
Raw total energy, eV/atom: -5.21

Cell: 3.502 3.502 10.990 Å, 90.00 90.00 90.00°
Space group P4/mmm (No. 123)
Asymmetric unit:
Tm 0.000 0.000 0.000
Tm 0.000 0.000 0.309
In 0.500 0.500 0.500
Pd 0.500 0.500 0.161